Entry from Alexandria: an optimized crystal structure of Ag2MoF (PBE+U).

The energy is -3.6604 eV/atom. For the excess energy over the best structure of this formula in the dataset, the calculation gives 0.000 eV/atom. The magnetic moment is 0.99 μB/atom.

a b c (Å): 8.5070 8.5070 6.4155
angles (deg): 48.47 48.47 90.00
Last column: nearest neighbours and their distance in Å.
Sites, in units of the cell vectors:
1 Mo 0.0000 0.0000 0.0000  2 F 2.23
2 Mo 0.7500 0.2500 0.5000  2 F 2.23
3 Ag 0.5454 0.1250 0.2500  2 Ag 2.61, 2 F 2.63
4 Ag 0.2046 0.6250 0.2500  2 Ag 2.61, 2 F 2.63
5 Ag 0.3750 0.4546 0.7500  2 Ag 2.61, 2 F 2.63
6 Ag 0.8750 0.7954 0.7500  2 Ag 2.61, 2 F 2.63
7 F 0.5000 0.5000 0.0000  2 Mo 2.23
8 F 0.2500 0.7500 0.5000  2 Mo 2.23